Compound: AcSi2TcIr
Source: Alexandria
Functional: PBE-GGA
Structure: relaxed

Cell: 4.2997 4.2997 10.3542 Å, 90.00 90.00 90.00°
Space group I-4m2 (No. 119)
Inequivalent atoms, fractional coordinates:
Ac 0.0000 0.0000 0.0000 x2
Si 0.0000 0.0000 0.3585 x4
Tc 0.0000 0.5000 0.7500 x2
Ir 0.0000 0.5000 0.2500 x2

Energy relative to the elements, uncorrected = -819 meV per atom
VASP energy = -7.656 eV per atom